(1)
Below is Ce2PaPd after structural relaxation, with properties calculated at the GGA-PBE level.

Unit cell a=3.0837 b=3.0837 c=32.5561 alpha=90.00 beta=90.00 gamma=120.00
Sites, in units of the cell vectors:
Ce  0.0000  0.0000  0.0908
Ce  0.0000  0.0000  0.9092
Ce  0.3333  0.6667  0.5759
Ce  0.3333  0.6667  0.7575
Ce  0.6667  0.3333  0.2425
Ce  0.6667  0.3333  0.4241
Pa  0.0000  0.0000  0.0000
Pa  0.3333  0.6667  0.6667
Pa  0.6667  0.3333  0.3333
Pd  0.0000  0.0000  0.5000
Pd  0.3333  0.6667  0.1667
Pd  0.6667  0.3333  0.8333

Summary:
For the energy relative to the elements, the calculation gives -64 meV/atom. As for the density: 11.48 g/cm³. As for the energy above the most stable polymorph in this dataset: 195 meV/atom. The calculation puts the density of states at the Fermi level at 1.925 states/eV/atom. The final energy is -80.43 eV per cell.

(2)
Below is CePaPd4 after structural relaxation, with properties calculated at the GGA-PBE level.

Unit cell a=5.4598 b=5.4598 c=5.4598 alpha=60.00 beta=60.00 gamma=60.00
Sites, in units of the cell vectors:
Ce  0.0000  0.0000  0.0000
Pa  0.2500  0.2500  0.2500
Pd  0.1258  0.6247  0.6247
Pd  0.6247  0.1258  0.6247
Pd  0.6247  0.6247  0.1258
Pd  0.6247  0.6247  0.6247

Summary:
For the energy relative to the elements, the calculation gives -572 meV/atom. As for the density: 11.50 g/cm³. The calculation puts the density of states at the Fermi level at 1.884 states/eV/atom. The final energy is -39.63 eV per cell.

(3)
Below is CePa2Pd9 after structural relaxation, with properties calculated at the GGA-PBE level.

Unit cell a=4.1700 b=4.1700 c=12.5136 alpha=90.00 beta=90.00 gamma=90.00
Sites, in units of the cell vectors:
Ce  0.0000  0.0000  0.0000
Pa  0.0000  0.0000  0.3327
Pa  0.0000  0.0000  0.6673
Pd  0.0000  0.5000  0.1713
Pd  0.0000  0.5000  0.5000
Pd  0.0000  0.5000  0.8287
Pd  0.5000  0.0000  0.1713
Pd  0.5000  0.0000  0.5000
Pd  0.5000  0.0000  0.8287
Pd  0.5000  0.5000  0.0000
Pd  0.5000  0.5000  0.3354
Pd  0.5000  0.5000  0.6646

Summary:
For the energy relative to the elements, the calculation gives -732 meV/atom. As for the density: 11.90 g/cm³. The calculation puts the density of states at the Fermi level at 1.407 states/eV/atom. The final energy is -80.44 eV per cell.

(4)
Below is CePaPd6 after structural relaxation, with properties calculated at the GGA-PBE level.

Unit cell a=5.6376 b=5.6376 c=5.6376 alpha=77.66 beta=77.66 gamma=77.66
Sites, in units of the cell vectors:
Ce  0.0000  0.0000  0.0000
Pa  0.5000  0.5000  0.5000
Pd  0.0295  0.6483  0.6483
Pd  0.3517  0.3517  0.9705
Pd  0.3517  0.9705  0.3517
Pd  0.6483  0.0295  0.6483
Pd  0.6483  0.6483  0.0295
Pd  0.9705  0.3517  0.3517

Summary:
For the energy relative to the elements, the calculation gives -418 meV/atom. As for the density: 9.96 g/cm³. As for the energy above the most stable polymorph in this dataset: 351 meV/atom. The calculation puts the density of states at the Fermi level at 1.146 states/eV/atom. The final energy is -49.93 eV per cell.

(5)
Below is CePaPd14 after structural relaxation, with properties calculated at the GGA-PBE level.

Unit cell a=5.8429 b=5.8429 c=7.8003 alpha=90.00 beta=90.00 gamma=90.00
Sites, in units of the cell vectors:
Ce  0.0000  0.0000  0.0000
Pa  0.5000  0.5000  0.0000
Pd  0.0000  0.0000  0.5000
Pd  0.0000  0.5000  0.0000
Pd  0.0000  0.5000  0.5000
Pd  0.2530  0.2530  0.2538
Pd  0.2530  0.2530  0.7462
Pd  0.2530  0.7470  0.2538
Pd  0.2530  0.7470  0.7462
Pd  0.5000  0.0000  0.0000
Pd  0.5000  0.0000  0.5000
Pd  0.5000  0.5000  0.5000
Pd  0.7470  0.2530  0.2538
Pd  0.7470  0.2530  0.7462
Pd  0.7470  0.7470  0.2538
Pd  0.7470  0.7470  0.7462

Summary:
For the energy relative to the elements, the calculation gives -459 meV/atom. As for the density: 11.60 g/cm³. The calculation puts the density of states at the Fermi level at 0.888 states/eV/atom. The final energy is -95.47 eV per cell.

(6)
Below is CePa2Pd after structural relaxation, with properties calculated at the GGA-PBE level.

Unit cell a=3.1013 b=3.1013 c=32.4350 alpha=90.00 beta=90.00 gamma=120.00
Sites, in units of the cell vectors:
Ce  0.0000  0.0000  0.0000
Ce  0.3333  0.6667  0.6667
Ce  0.6667  0.3333  0.3333
Pa  0.0000  0.0000  0.0907
Pa  0.0000  0.0000  0.9093
Pa  0.3333  0.6667  0.5760
Pa  0.3333  0.6667  0.7574
Pa  0.6667  0.3333  0.2426
Pa  0.6667  0.3333  0.4240
Pd  0.0000  0.0000  0.5000
Pd  0.3333  0.6667  0.1667
Pd  0.6667  0.3333  0.8333

Summary:
For the energy relative to the elements, the calculation gives -20 meV/atom. As for the density: 13.07 g/cm³. As for the energy above the most stable polymorph in this dataset: 44 meV/atom. The calculation puts the density of states at the Fermi level at 1.894 states/eV/atom. The final energy is -90.60 eV per cell.

(7)
Below is CePa2Pd after structural relaxation, with properties calculated at the GGA-PBE level.

Unit cell a=3.5723 b=3.5723 c=7.6277 alpha=90.00 beta=90.00 gamma=90.00
Sites, in units of the cell vectors:
Ce  0.0000  0.0000  0.0000
Pa  0.5000  0.5000  0.2892
Pa  0.5000  0.5000  0.7108
Pd  0.0000  0.0000  0.5000

Summary:
For the energy relative to the elements, the calculation gives -64 meV/atom. As for the density: 12.09 g/cm³. As for the energy above the most stable polymorph in this dataset: 0 meV/atom. The calculation puts the density of states at the Fermi level at 2.040 states/eV/atom. The final energy is -30.37 eV per cell.

(8)
Below is CePaPdRh after structural relaxation, with properties calculated at the GGA-PBE level.

Unit cell a=6.9836 b=6.9836 c=6.9836 alpha=90.00 beta=90.00 gamma=90.00
Sites, in units of the cell vectors:
Ce  0.0000  0.0000  0.0000
Ce  0.0000  0.5000  0.5000
Ce  0.5000  0.0000  0.5000
Ce  0.5000  0.5000  0.0000
Pa  0.0000  0.0000  0.5000
Pa  0.0000  0.5000  0.0000
Pa  0.5000  0.0000  0.0000
Pa  0.5000  0.5000  0.5000
Pd  0.2500  0.2500  0.7500
Pd  0.2500  0.7500  0.2500
Pd  0.7500  0.2500  0.2500
Pd  0.7500  0.7500  0.7500
Rh  0.2500  0.2500  0.2500
Rh  0.2500  0.7500  0.7500
Rh  0.7500  0.2500  0.7500
Rh  0.7500  0.7500  0.2500

Summary:
For the energy relative to the elements, the calculation gives -522 meV/atom. As for the density: 11.32 g/cm³. The calculation puts the density of states at the Fermi level at 2.241 states/eV/atom. The final energy is -120.24 eV per cell.

(9)
Below is Ce2PaPdS4 after structural relaxation, with properties calculated at the GGA-PBE level.

Unit cell a=6.8518 b=6.8518 c=6.7908 alpha=90.00 beta=90.00 gamma=90.00
Sites, in units of the cell vectors:
Ce  0.0000  0.5000  0.0000
Ce  0.0000  0.5000  0.5000
Ce  0.5000  0.0000  0.0000
Ce  0.5000  0.0000  0.5000
Pa  0.0000  0.0000  0.0000
Pa  0.5000  0.5000  0.5000
Pd  0.0000  0.0000  0.5000
Pd  0.5000  0.5000  0.0000
S  0.2097  0.2097  0.2838
S  0.2097  0.7903  0.7162
S  0.2903  0.2903  0.7838
S  0.2903  0.7097  0.2162
S  0.7097  0.2903  0.2162
S  0.7097  0.7097  0.7838
S  0.7903  0.2097  0.7162
S  0.7903  0.7903  0.2838

Summary:
As for the density: 7.77 g/cm³. The value obtained for the formation energy from raw total energies is -1416 meV/atom. The calculation puts the density of states at the Fermi level at 1.963 states/eV/atom. The final energy is -108.79 eV per cell.

(10)
Below is Ce2PaPdS5 after structural relaxation, with properties calculated at the GGA-PBE level.

Unit cell a=8.4241 b=8.4241 c=12.1334 alpha=90.00 beta=90.00 gamma=153.25
Sites, in units of the cell vectors:
Ce  0.1086  0.8914  0.5000
Ce  0.1177  0.8823  0.8473
Ce  0.8823  0.1177  0.3473
Ce  0.8914  0.1086  0.0000
Pa  0.1811  0.8189  0.1728
Pa  0.8189  0.1811  0.6728
Pd  0.4429  0.5571  0.5693
Pd  0.5571  0.4429  0.0693
S  0.0168  0.9832  0.1755
S  0.3017  0.6983  0.5122
S  0.3047  0.6953  0.8318
S  0.3457  0.6543  0.1720
S  0.4943  0.5057  0.8937
S  0.5057  0.4943  0.3937
S  0.6543  0.3457  0.6720
S  0.6953  0.3047  0.3318
S  0.6983  0.3017  0.0122
S  0.9832  0.0168  0.6755

Summary:
As for the density: 6.67 g/cm³. The value obtained for the formation energy from raw total energies is -1625 meV/atom. The calculation puts the density of states at the Fermi level at 1.731 states/eV/atom. The final energy is -123.63 eV per cell.

(11)
Below is CePaSbPd after structural relaxation, with properties calculated at the GGA-PBE level.

Unit cell a=7.3961 b=7.3961 c=7.3961 alpha=90.00 beta=90.00 gamma=90.00
Sites, in units of the cell vectors:
Ce  0.0000  0.0000  0.0000
Ce  0.0000  0.5000  0.5000
Ce  0.5000  0.0000  0.5000
Ce  0.5000  0.5000  0.0000
Pa  0.0000  0.0000  0.5000
Pa  0.0000  0.5000  0.0000
Pa  0.5000  0.0000  0.0000
Pa  0.5000  0.5000  0.5000
Sb  0.2500  0.2500  0.7500
Sb  0.2500  0.7500  0.2500
Sb  0.7500  0.2500  0.2500
Sb  0.7500  0.7500  0.7500
Pd  0.2500  0.2500  0.2500
Pd  0.2500  0.7500  0.7500
Pd  0.7500  0.2500  0.7500
Pd  0.7500  0.7500  0.2500

Summary:
As for the density: 9.84 g/cm³. The value obtained for the formation energy from raw total energies is -390 meV/atom. The calculation puts the density of states at the Fermi level at 3.153 states/eV/atom. The final energy is -105.21 eV per cell.

(12)
Below is CePaPdSe4 after structural relaxation, with properties calculated at the GGA-PBE level.

Unit cell a=6.7323 b=6.4650 c=8.0214 alpha=90.00 beta=106.86 gamma=90.00
Sites, in units of the cell vectors:
Ce  0.2198  0.2500  0.0520
Ce  0.7802  0.7500  0.9480
Pa  0.2435  0.2500  0.5594
Pa  0.7565  0.7500  0.4406
Pd  0.2411  0.7500  0.3202
Pd  0.7589  0.2500  0.6798
Se  0.0346  0.5197  0.7434
Se  0.0346  0.9803  0.7434
Se  0.4517  0.7500  0.1100
Se  0.4568  0.7500  0.6265
Se  0.5432  0.2500  0.3735
Se  0.5483  0.2500  0.8900
Se  0.9654  0.0197  0.2566
Se  0.9654  0.4803  0.2566

Summary:
As for the density: 7.89 g/cm³. The value obtained for the formation energy from raw total energies is -1232 meV/atom. The calculation puts the density of states at the Fermi level at 1.200 states/eV/atom. The final energy is -86.37 eV per cell.

(13)
Below is Ce2PaPdSe4 after structural relaxation, with properties calculated at the GGA-PBE level.

Unit cell a=7.1273 b=7.1273 c=7.0800 alpha=90.00 beta=90.00 gamma=90.00
Sites, in units of the cell vectors:
Ce  0.0000  0.5000  0.0000
Ce  0.0000  0.5000  0.5000
Ce  0.5000  0.0000  0.0000
Ce  0.5000  0.0000  0.5000
Pa  0.0000  0.0000  0.0000
Pa  0.5000  0.5000  0.5000
Pd  0.0000  0.0000  0.5000
Pd  0.5000  0.5000  0.0000
Se  0.2117  0.2117  0.2835
Se  0.2117  0.7883  0.7165
Se  0.2883  0.2883  0.7835
Se  0.2883  0.7117  0.2165
Se  0.7117  0.2883  0.2165
Se  0.7117  0.7117  0.7835
Se  0.7883  0.2117  0.7165
Se  0.7883  0.7883  0.2835

Summary:
As for the density: 8.62 g/cm³. The value obtained for the formation energy from raw total energies is -1288 meV/atom. The calculation puts the density of states at the Fermi level at 2.068 states/eV/atom. The final energy is -101.59 eV per cell.